# 1
8
Lattice="-0.479 -3.558 -3.437 -1.393 -3.216 3.524 -10.799 -0.631 2.160" Properties=species:S:1:pos:R:3 comment="Pm2ErTm4Sc (PBE-GGA, relaxed)" magmom_total_mub_per_fu=0.00 e_form_ev_per_atom=0.037 dft_energy_ev_per_atom=-4.7483 pbc="T T T"
Pm -10.799 -0.631 2.160
Pm -5.639 -2.095 -0.638
Er -6.096 -1.924 2.842
Tm -9.181 -2.877 4.260
Tm -3.490 -4.529 -2.011
Tm -3.946 -4.358 1.469
Tm -8.726 -3.047 0.779
Sc -11.735 -4.018 2.204

=====

# 2
12
Lattice="-2.400 4.238 3.525 1.150 -5.463 2.229 10.721 3.784 1.042" Properties=species:S:1:pos:R:3 comment="Pm2ErTm6Sc3 (PBE-GGA, relaxed)" magmom_total_mub_per_fu=0.00 e_form_ev_per_atom=0.045 dft_energy_ev_per_atom=-4.9457 pbc="T T T"
Pm -0.032 -2.231 2.661
Pm -1.217 1.005 3.093
Er 0.000 0.000 0.000
Tm 6.404 3.497 5.282
Tm 1.850 0.061 4.610
Tm 3.067 -0.939 1.513
Tm 7.586 0.269 4.851
Tm 7.622 2.497 2.185
Tm 1.885 2.290 1.944
Sc 5.920 -1.957 2.965
Sc 3.551 4.515 3.830
Sc 4.736 1.279 3.398

=====

# 3
10
Lattice="-6.605 -1.792 2.048 2.844 -2.061 7.370 -2.290 6.297 -1.877" Properties=species:S:1:pos:R:3 comment="Pm2ErTmSc (PBE-GGA, relaxed)" magmom_total_mub_per_fu=0.00 e_form_ev_per_atom=0.383 dft_energy_ev_per_atom=-4.5901 pbc="T T T"
Pm -2.446 -1.517 3.245
Pm 1.987 -1.440 5.149
Pm -1.315 -2.336 6.173
Pm 0.857 -0.621 2.221
Er -0.633 0.972 5.038
Er -5.418 1.472 2.503
Tm -3.935 0.073 6.061
Tm -2.116 2.371 1.480
Sc -1.097 3.787 6.004
Sc -4.954 -1.343 1.536